(a)
Density functional theory data (PBE) for an optimized crystal structure of Ce2AlBi.

Cell: 3.4258 3.4258 11.4545 Å, 81.40 81.40 60.00°
Closest atoms and distances in Å follow each position.
Positions (direct):
Bi (0.0000, 0.0000, 0.0000)  2 Ce 3.26, 6 Bi 3.43
Ce (0.0962, 0.0962, 0.7114)  3 Al 3.10, 1 Bi 3.26, 6 Ce 3.43
Ce (0.9038, 0.9038, 0.2886)  3 Al 3.10, 1 Bi 3.26, 6 Ce 3.43
Al (0.5000, 0.5000, 0.5000)  6 Ce 3.10, 6 Al 3.43

Output
M_tot = 1.9 μB/cell

(b)
Density functional theory data (PBE) for an optimized crystal structure of Ce2AlBi.

Cell: 4.1335 4.1335 6.3385 Å, 90.00 90.00 90.00°
Closest atoms and distances in Å follow each position.
Positions (direct):
Bi (0.5000, 0.5000, 0.0000)  2 Al 3.17, 8 Ce 3.42
Ce (0.0000, 0.0000, 0.7192)  1 Ce 2.78
Ce (0.0000, 0.0000, 0.2808)  1 Ce 2.78
Al (0.5000, 0.5000, 0.5000)  2 Bi 3.17, 8 Ce 3.24

Output
M_tot = 2.2 μB/cell

Energy relative to the most stable one, in eV/atom: (a) 0.422; (b) 0.000

(a)
Density functional theory data (PBE) for an optimized crystal structure of AlBiCl6.

Cell: 12.0146 8.3845 12.3312 Å, 73.20 90.00 90.00°
Closest atoms and distances in Å follow each position.
Positions (direct):
Cl (0.4204, 0.9816, 0.2679)  1 Bi 2.46
Cl (0.8983, 0.5478, 0.1836)  1 Al 2.15
Cl (0.6547, 0.6866, 0.3013)  1 Al 2.19
Cl (0.1232, 0.4656, 0.4277)  1 Al 2.15
Cl (0.8768, 0.5344, 0.5723)  1 Al 2.15
Cl (0.0796, 0.9816, 0.7679)  1 Bi 2.46
Cl (0.3768, 0.4656, 0.9277)  1 Al 2.15
Cl (0.1017, 0.4522, 0.8164)  1 Al 2.15
Cl (0.1547, 0.3134, 0.1987)  1 Al 2.19
Cl (0.3983, 0.4522, 0.3164)  1 Al 2.15
Cl (0.6017, 0.5478, 0.6836)  1 Al 2.15
Cl (0.6232, 0.5344, 0.0723)  1 Al 2.15
Cl (0.6313, 0.0072, 0.0484)  2 Bi 2.69-2.75
Cl (0.7165, 0.2612, 0.3396)  1 Al 2.17
Cl (0.2165, 0.7388, 0.1604)  1 Al 2.17
Cl (0.3687, 0.9928, 0.9516)  2 Bi 2.69-2.75
Cl (0.2835, 0.7388, 0.6604)  1 Al 2.17
Cl (0.9204, 0.0184, 0.2321)  1 Bi 2.46
Cl (0.3453, 0.3134, 0.6987)  1 Al 2.19
Cl (0.7835, 0.2612, 0.8396)  1 Al 2.17
Cl (0.1313, 0.9928, 0.4516)  2 Bi 2.69-2.75
Cl (0.8453, 0.6866, 0.8013)  1 Al 2.19
Cl (0.5796, 0.0184, 0.7321)  1 Bi 2.46
Cl (0.8687, 0.0072, 0.5484)  2 Bi 2.69-2.75
Al (0.7763, 0.5084, 0.7201)  4 Cl 2.15-2.19
Al (0.7237, 0.5084, 0.2201)  4 Cl 2.15-2.19
Al (0.2763, 0.4916, 0.7799)  4 Cl 2.15-2.19
Al (0.2237, 0.4916, 0.2799)  4 Cl 2.15-2.19
Bi (0.9661, 0.1989, 0.3519)  3 Cl 2.46-2.75
Bi (0.5339, 0.1989, 0.8519)  3 Cl 2.46-2.75
Bi (0.0339, 0.8011, 0.6481)  3 Cl 2.46-2.75
Bi (0.4661, 0.8011, 0.1481)  3 Cl 2.46-2.75

Output
M_tot = 0.7 μB/cell

(b)
Density functional theory data (PBE) for an optimized crystal structure of AlBiCl6.

Cell: 6.4119 6.4120 6.8620 Å, 62.14 62.14 59.99°
Closest atoms and distances in Å follow each position.
Positions (direct):
Al (0.0000, 0.0000, 0.0000)  6 Cl 2.35
Bi (0.5000, 0.5000, 0.5000)  6 Cl 2.76
Cl (0.0693, 0.3831, 0.7690)  1 Al 2.35
Cl (0.7786, 0.0693, 0.7691)  1 Al 2.35
Cl (0.6168, 0.2214, 0.2310)  1 Al 2.35
Cl (0.2214, 0.9307, 0.2309)  1 Al 2.35
Cl (0.9307, 0.6169, 0.2310)  1 Al 2.35
Cl (0.3832, 0.7786, 0.7690)  1 Al 2.35

Output
M_tot = 0.0 μB/cell

Energy relative to the most stable one, in eV/atom: (a) 0.000; (b) 0.101

(a)
Density functional theory data (PBE) for an optimized crystal structure of Al3BiCl.

Cell: 5.0622 5.0622 5.0622 Å, 90.00 90.00 90.00°
Closest atoms and distances in Å follow each position.
Positions (direct):
Al (0.0000, 0.5000, 0.0000)  2 Cl 2.53
Al (0.0000, 0.0000, 0.5000)  2 Cl 2.53
Al (0.5000, 0.0000, 0.0000)  2 Cl 2.53
Bi (0.5000, 0.5000, 0.5000)  12 Al 3.58
Cl (0.0000, 0.0000, 0.0000)  6 Al 2.53

Output
M_tot = 0.0 μB/cell

(b)
Density functional theory data (PBE) for an optimized crystal structure of Al3BiCl.

Cell: 5.7814 5.7814 5.7814 Å, 90.00 90.00 90.00°
Closest atoms and distances in Å follow each position.
Positions (direct):
Al (0.0000, 0.5000, 0.0000)  2 Bi 2.89
Al (0.0000, 0.0000, 0.5000)  2 Bi 2.89
Al (0.5000, 0.0000, 0.0000)  2 Bi 2.89
Bi (0.0000, 0.0000, 0.0000)  6 Al 2.89
Cl (0.5000, 0.5000, 0.5000)  12 Al 4.09

Output
M_tot = 0.0 μB/cell

Energy relative to the most stable one, in eV/atom: (a) 0.000; (b) 0.263